# Sc2Mo SCAN single point on PBEsol structure
data_Sc2Mo
_chemical_formula_sum 'Sc8 Mo4'
_symmetry_space_group_name_H-M 'C 1 2/m 1'
_symmetry_Int_Tables_number 12
_cell_length_a 11.3193
_cell_length_b 2.8655
_cell_length_c 7.3003
_cell_angle_alpha 90.00
_cell_angle_beta 104.19
_cell_angle_gamma 90.00
loop_
_symmetry_equiv_pos_as_xyz
'x,y,z'
'-x,-y,-z'
'-x,y,-z'
'x,-y,z'
'x+1/2,y+1/2,z'
'-x+1/2,-y+1/2,-z'
'-x+1/2,y+1/2,-z'
'x+1/2,-y+1/2,z'
loop_
_atom_site_label
_atom_site_fract_x
_atom_site_fract_y
_atom_site_fract_z
Sc1 0.0427 0.0000 0.3367
Sc2 0.1385 0.5000 0.0149
Mo1 0.2061 0.5000 0.6566
# Fermi-level density of states: 0.96 states/eV/atom
# raw total energy: -20.83 eV per atom
# E above lowest polymorph: 0.251 eV/atom
# total magnetization: 0.00 Bohr magnetons per cell